Here is an optimized crystal structure of PmThGeTe from Alexandria via LeMat-Bulk. Energies are from PBE.

## Properties
calculated volume: 29.98 Å³/atom
E above lowest polymorph: 0 meV per atom
N(E_F): 1.9 states/eV/f.u.

Cell: 4.3572 4.3572 7.7163 Å, 73.60 73.60 60.00°
Closest atoms and distances in Å follow each position.
Atoms (fractional coordinates):
Th 0.9898 0.9898 0.0305  3 Ge 2.98, 3 Te 3.24
Pm 0.5098 0.5098 0.4707  3 Ge 2.99, 3 Te 3.24
Ge 0.2503 0.2503 0.2491  3 Th 2.98, 3 Pm 2.99
Te 0.7501 0.7501 0.7496  3 Pm 3.24, 3 Th 3.24

Here is an optimized crystal structure of PmThGeTe from Alexandria via LeMat-Bulk. Energies are from PBE.

## Properties
calculated volume: 26.86 Å³/atom
E above lowest polymorph: 310 meV per atom
N(E_F): 3.2 states/eV/f.u.

Cell: 5.3362 5.3362 5.3362 Å, 60.00 60.00 60.00°
Closest atoms and distances in Å follow each position.
Atoms (fractional coordinates):
Ge 0.2500 0.2500 0.2500  4 Pm 3.27, 4 Th 3.27
Te 0.7500 0.7500 0.7500  4 Th 3.27, 4 Pm 3.27
Th 0.0000 0.0000 0.0000  4 Ge 3.27, 4 Te 3.27
Pm 0.5000 0.5000 0.5000  4 Te 3.27, 4 Ge 3.27

Here is an optimized crystal structure of PmThGe from Alexandria via LeMat-Bulk. Energies are from PBE.

## Properties
calculated volume: 27.41 Å³/atom
E above lowest polymorph: 24 meV per atom
energy relative to the elements: -153.2 kJ/mol of formula units
N(E_F): 3.9 states/eV/f.u.

Cell: 4.2468 8.1896 8.1896 Å, 120.00 90.00 90.00°
Closest atoms and distances in Å follow each position.
Atoms (fractional coordinates):
Pm 0.5000 0.0000 0.2563  4 Ge 2.99-3.09
Th 0.0000 0.4160 0.4160  5 Ge 3.25-3.41, 2 Pm 3.42
Ge 0.5000 0.3333 0.6667  3 Pm 3.09, 6 Th 3.25
Pm 0.5000 0.7437 0.7437  4 Ge 2.99-3.09
Ge 0.0000 0.0000 0.0000  6 Pm 2.99
Pm 0.5000 0.2563 0.0000  4 Ge 2.99-3.09
Th 0.0000 0.0000 0.5840  5 Ge 3.25-3.41, 2 Pm 3.42
Th 0.0000 0.5840 0.0000  5 Ge 3.25-3.41, 2 Pm 3.42
Ge 0.5000 0.6667 0.3333  3 Pm 3.09, 6 Th 3.25

Here is an optimized crystal structure of PmThGe2 from Alexandria via LeMat-Bulk. Energies are from PBE.

## Properties
calculated volume: 25.36 Å³/atom
energy relative to the elements: -302.1 kJ/mol of formula units
N(E_F): 2.7 states/eV/f.u.

Cell: 4.3572 4.1974 5.9596 Å, 90.00 111.48 90.00°
Closest atoms and distances in Å follow each position.
Atoms (fractional coordinates):
Ge 0.9953 0.0000 0.5307  2 Ge 2.84, 1 Pm 3.06, 4 Th 3.07-3.08
Ge 0.1696 0.5000 0.8769  2 Ge 2.84, 1 Th 3.07, 4 Pm 3.08
Pm 0.7207 0.0000 0.9798  7 Ge 3.06-3.31
Th 0.4454 0.5000 0.4305  7 Ge 3.07-3.30

Here is an optimized crystal structure of Pm3ThGe2 from Alexandria via LeMat-Bulk. Energies are from PBE.

## Properties
calculated volume: 28.17 Å³/atom
energy relative to the elements: -310.9 kJ/mol of formula units
N(E_F): 6.7 states/eV/f.u.

Cell: 4.4161 10.1499 9.4997 Å, 124.59 90.00 102.56°
Closest atoms and distances in Å follow each position.
Atoms (fractional coordinates):
Ge 0.2438 0.4877 0.7669  7 Pm 3.10-3.40, 2 Th 3.18
Th 0.8838 0.7676 0.9000  6 Ge 3.12-3.28
Ge 0.5082 0.0165 0.1470  1 Ge 2.62
Th 0.1162 0.2324 0.1000  6 Ge 3.12-3.28
Pm 0.0479 0.0959 0.3994  2 Ge 3.01, 2 Pm 3.26
Ge 0.7562 0.5123 0.2331  7 Pm 3.10-3.40, 2 Th 3.18
Pm 0.6517 0.3034 0.8262  4 Ge 3.12-3.32
Pm 0.3483 0.6966 0.1738  4 Ge 3.12-3.32
Pm 0.6894 0.3788 0.4915  4 Ge 3.10-3.40, 4 Pm 3.20-3.26
Pm 0.9521 0.9041 0.6006  2 Ge 3.01, 2 Pm 3.26
Pm 0.3106 0.6212 0.5085  4 Ge 3.10-3.40, 4 Pm 3.20-3.26
Ge 0.4918 0.9835 0.8530  1 Ge 2.62

Here is an optimized crystal structure of Pm2ThGe2 from Alexandria via LeMat-Bulk. Energies are from PBE.

## Properties
calculated volume: 26.56 Å³/atom
E above lowest polymorph: 0 meV per atom
energy relative to the elements: -336.6 kJ/mol of formula units
N(E_F): 4.5 states/eV/f.u.

Cell: 4.1551 7.9945 7.9945 Å, 90.00 90.00 90.00°
Closest atoms and distances in Å follow each position.
Atoms (fractional coordinates):
Ge 0.0000 0.3660 0.8660  1 Ge 3.03, 6 Pm 3.08-3.18, 2 Th 3.12
Pm 0.5000 0.8346 0.3346  6 Ge 3.08-3.18
Ge 0.0000 0.8660 0.6340  1 Ge 3.03, 6 Pm 3.08-3.18, 2 Th 3.12
Ge 0.0000 0.6340 0.1340  1 Ge 3.03, 6 Pm 3.08-3.18, 2 Th 3.12
Ge 0.0000 0.1340 0.3660  1 Ge 3.03, 6 Pm 3.08-3.18, 2 Th 3.12
Th 0.0000 0.5000 0.5000  4 Ge 3.12
Pm 0.5000 0.3346 0.1654  6 Ge 3.08-3.18
Th 0.0000 0.0000 0.0000  4 Ge 3.12
Pm 0.5000 0.1654 0.6654  6 Ge 3.08-3.18
Pm 0.5000 0.6654 0.8346  6 Ge 3.08-3.18

Here is an optimized crystal structure of Pm2ThGe from Alexandria via LeMat-Bulk. Energies are from PBE.

## Properties
calculated volume: 27.51 Å³/atom
E above lowest polymorph: 14 meV per atom
energy relative to the elements: -114.5 kJ/mol of formula units
N(E_F): 3.2 states/eV/f.u.

Cell: 4.7715 4.8026 4.8026 Å, 90.00 90.00 90.00°
Closest atoms and distances in Å follow each position.
Atoms (fractional coordinates):
Pm 0.0000 0.5000 0.0000  4 Ge 3.38, 4 Th 3.38, 4 Pm 3.40
Th 0.5000 0.5000 0.5000  8 Pm 3.38, 4 Ge 3.40
Ge 0.5000 0.0000 0.0000  8 Pm 3.38, 4 Th 3.40
Pm 0.0000 0.0000 0.5000  4 Ge 3.38, 4 Th 3.38, 4 Pm 3.40

Here is an optimized crystal structure of Pm2ThGe3 from Alexandria via LeMat-Bulk. Energies are from PBE.

## Properties
calculated volume: 27.65 Å³/atom
energy relative to the elements: -408.0 kJ/mol of formula units
N(E_F): 5.3 states/eV/f.u.

Cell: 4.2776 6.0577 7.3995 Å, 114.16 106.80 90.00°
Closest atoms and distances in Å follow each position.
Atoms (fractional coordinates):
Th 0.0000 0.5000 0.0000  6 Ge 3.02-3.03
Ge 0.0000 0.0000 0.0000  4 Pm 3.02, 2 Th 3.03
Ge 0.6661 0.6661 0.3322  2 Th 3.02, 4 Pm 3.02-3.03
Ge 0.3339 0.3339 0.6678  2 Th 3.02, 4 Pm 3.02-3.03
Pm 0.3330 0.8330 0.6659  6 Ge 3.02-3.03
Pm 0.6670 0.1670 0.3341  6 Ge 3.02-3.03

Here is an optimized crystal structure of PmThGe2 from Alexandria via LeMat-Bulk. Energies are from PBE.

## Properties
calculated volume: 27.76 Å³/atom
energy relative to the elements: -281.8 kJ/mol of formula units
N(E_F): 2.6 states/eV/f.u.

Cell: 4.2808 4.2808 7.4210 Å, 73.24 73.24 60.00°
Closest atoms and distances in Å follow each position.
Atoms (fractional coordinates):
Ge 0.7501 0.7501 0.7497  3 Pm 3.03, 3 Th 3.03
Th 0.0000 0.0000 0.0000  6 Ge 3.03
Pm 0.5000 0.5000 0.5000  6 Ge 3.03
Ge 0.2499 0.2499 0.2503  3 Pm 3.03, 3 Th 3.03

Here is an optimized crystal structure of PmTh5Ge6 from Alexandria via LeMat-Bulk. Energies are from PBE.

## Properties
calculated volume: 28.02 Å³/atom
energy relative to the elements: -884.7 kJ/mol of formula units
N(E_F): 6.4 states/eV/f.u.

Cell: 7.4376 7.4444 7.4389 Å, 59.98 80.40 70.53°
Closest atoms and distances in Å follow each position.
Atoms (fractional coordinates):
Th 0.5000 0.8333 0.3333  6 Ge 3.04
Th 0.0000 0.6667 0.6666  6 Ge 3.04
Th 0.5000 0.5000 0.0000  6 Ge 3.03-3.04
Ge 0.7497 0.7498 0.0000  5 Th 3.03-3.04, 1 Pm 3.04
Th 0.0000 0.3333 0.3334  6 Ge 3.04
Ge 0.2503 0.2502 0.0000  5 Th 3.03-3.04, 1 Pm 3.04
Ge 0.7502 0.4169 0.6664  5 Th 3.04, 1 Pm 3.04
Ge 0.7502 0.0832 0.3336  5 Th 3.04, 1 Pm 3.04
Ge 0.2498 0.5831 0.3336  5 Th 3.04, 1 Pm 3.04
Pm 0.0000 0.0000 0.0000  6 Ge 3.04
Th 0.5000 0.1667 0.6667  6 Ge 3.04
Ge 0.2498 0.9168 0.6664  5 Th 3.04, 1 Pm 3.04

Here is an optimized crystal structure of PmThGe2 from Alexandria via LeMat-Bulk. Energies are from PBE.

## Properties
calculated volume: 28.50 Å³/atom
energy relative to the elements: -220.9 kJ/mol of formula units
N(E_F): 5.5 states/eV/f.u.

Cell: 4.2679 4.2679 7.6344 Å, 73.77 73.77 60.00°
Closest atoms and distances in Å follow each position.
Atoms (fractional coordinates):
Ge 0.2510 0.2510 0.2469  3 Th 3.09, 3 Pm 3.12
Th 0.6700 0.6700 0.9899  6 Ge 3.00-3.09
Pm 0.4965 0.4965 0.5106  6 Ge 3.02-3.12
Ge 0.0824 0.0824 0.7527  3 Th 3.00, 3 Pm 3.02

Here is an optimized crystal structure of Pm2ThGe from Alexandria via LeMat-Bulk. Energies are from PBE.

## Properties
calculated volume: 27.75 Å³/atom
E above lowest polymorph: 0 meV per atom
energy relative to the elements: -119.8 kJ/mol of formula units
N(E_F): 6.2 states/eV/f.u.

Cell: 3.9062 3.9062 7.2753 Å, 90.00 90.00 90.00°
Closest atoms and distances in Å follow each position.
Atoms (fractional coordinates):
Pm 0.0000 0.0000 0.2069  1 Pm 3.01, 4 Ge 3.15
Pm 0.0000 0.0000 0.7931  1 Pm 3.01, 4 Ge 3.15
Ge 0.5000 0.5000 0.0000  8 Pm 3.15
Th 0.5000 0.5000 0.5000  8 Pm 3.49, 2 Ge 3.64, 4 Th 3.91